[1]
A plane-wave DFT calculation with GGA-PBE was carried out for a relaxed Mg2ZrIn3 crystal.

Summary:
The total DFT energy (no corrections) comes out at -21.2 eV per formula unit.

Structure (CIF):
```
data_Mg2ZrIn3
_chemical_formula_sum 'Mg4 Zr2 In6'
_space_group_name_H-M_alt 'C m m m'
_space_group_IT_number 65
_space_group_name_Hall '-C 2 2'
_cell_length_a 4.459
_cell_length_b 13.652
_cell_length_c 4.353
_cell_angle_alpha 90.00
_cell_angle_beta 90.00
_cell_angle_gamma 90.00
loop_
_atom_site_label
_atom_site_fract_x
_atom_site_fract_y
_atom_site_fract_z
_atom_site_occupancy
Mg1 0.000 0.166 0.000 1
Zr1 0.000 0.500 0.000 1
In1 0.000 0.000 0.500 1
In2 0.000 0.333 0.500 1
```

---

[2]
A plane-wave DFT calculation with GGA-PBE was carried out for a relaxed Mg2ZrIn crystal.

Summary:
The total DFT energy (no corrections) comes out at -14.6 eV per formula unit.

Structure (CIF):
```
data_Mg2ZrIn
_chemical_formula_sum 'Mg2 Zr1 In1'
_space_group_name_H-M_alt 'P 1 2/m 1'
_space_group_IT_number 10
_cell_length_a 3.153
_cell_length_b 4.931
_cell_length_c 5.829
_cell_angle_alpha 90.00
_cell_angle_beta 98.72
_cell_angle_gamma 90.00
loop_
_space_group_symop_operation_xyz
'x,y,z'
'-x,-y,-z'
'-x,y,-z'
'x,-y,z'
loop_
_atom_site_label
_atom_site_fract_x
_atom_site_fract_y
_atom_site_fract_z
_atom_site_occupancy
Mg1 0.148 0.000 0.245 1
Zr1 0.500 0.500 0.000 1
In1 0.000 0.500 0.500 1
```

---

[3]
A plane-wave DFT calculation with GGA-PBE was carried out for a relaxed MgZrIn2 crystal.

Summary:
The total DFT energy (no corrections) comes out at -16.7 eV per formula unit.

Structure (CIF):
```
data_MgZrIn2
_chemical_formula_sum 'Mg1 Zr1 In2'
_space_group_name_H-M_alt 'P 4/m m m'
_space_group_IT_number 123
_space_group_name_Hall '-P 4 2'
_cell_length_a 4.487
_cell_length_b 4.487
_cell_length_c 4.319
_cell_angle_alpha 90.00
_cell_angle_beta 90.00
_cell_angle_gamma 90.00
loop_
_atom_site_label
_atom_site_fract_x
_atom_site_fract_y
_atom_site_fract_z
_atom_site_occupancy
Mg1 0.000 0.000 0.000 1
Zr1 0.500 0.500 0.000 1
In1 0.000 0.500 0.500 1
```

---

[4]
A plane-wave DFT calculation with GGA-PBE was carried out for a relaxed MgZrIn2 crystal.

Summary:
The total DFT energy (no corrections) comes out at -16.3 eV per formula unit.

Structure (CIF):
```
data_MgZrIn2
_chemical_formula_sum 'Mg1 Zr1 In2'
_space_group_name_H-M_alt 'P 1 2/m 1'
_space_group_IT_number 10
_cell_length_a 3.220
_cell_length_b 4.329
_cell_length_c 6.416
_cell_angle_alpha 90.00
_cell_angle_beta 90.47
_cell_angle_gamma 90.00
loop_
_space_group_symop_operation_xyz
'x,y,z'
'-x,-y,-z'
'-x,y,-z'
'x,-y,z'
loop_
_atom_site_label
_atom_site_fract_x
_atom_site_fract_y
_atom_site_fract_z
_atom_site_occupancy
Mg1 0.000 0.000 0.000 1
Zr1 0.000 0.000 0.500 1
In1 0.498 0.500 0.248 1
```

---

[5]
A plane-wave DFT calculation with GGA-PBE was carried out for a relaxed Mg2ZrIn crystal.

Summary:
The total DFT energy (no corrections) comes out at -14.7 eV per formula unit.

Structure (CIF):
```
data_Mg2ZrIn
_chemical_formula_sum 'Mg2 Zr1 In1'
_space_group_name_H-M_alt 'P m m 2'
_space_group_IT_number 25
_cell_length_a 3.167
_cell_length_b 4.412
_cell_length_c 6.412
_cell_angle_alpha 90.00
_cell_angle_beta 90.00
_cell_angle_gamma 90.00
loop_
_space_group_symop_operation_xyz
'x,y,z'
'-x,-y,z'
'-x,y,z'
'x,-y,z'
loop_
_atom_site_label
_atom_site_fract_x
_atom_site_fract_y
_atom_site_fract_z
_atom_site_occupancy
Mg1 0.000 0.000 0.000 1
Mg2 0.500 0.500 0.241 1
Zr1 0.000 0.000 0.498 1
In1 0.500 0.500 0.734 1
```

---

[6]
A plane-wave DFT calculation with GGA-PBE was carried out for a relaxed Mg2ZrIn crystal.

Summary:
The total DFT energy (no corrections) comes out at -14.5 eV per formula unit.

Structure (CIF):
```
data_Mg2ZrIn
_chemical_formula_sum 'Mg4 Zr2 In2'
_space_group_name_H-M_alt 'C 1 m 1'
_space_group_IT_number 8
_cell_length_a 10.599
_cell_length_b 3.097
_cell_length_c 5.673
_cell_angle_alpha 90.00
_cell_angle_beta 102.24
_cell_angle_gamma 90.00
loop_
_space_group_symop_operation_xyz
'x,y,z'
'x,-y,z'
'x+1/2,y+1/2,z'
'x+1/2,-y+1/2,z'
loop_
_atom_site_label
_atom_site_fract_x
_atom_site_fract_y
_atom_site_fract_z
_atom_site_occupancy
Mg1 0.000 0.000 0.000 1
Mg2 0.247 0.000 0.781 1
Zr1 0.487 0.000 0.499 1
In1 0.236 0.500 0.291 1
```

---

[7]
A plane-wave DFT calculation with GGA-PBE was carried out for a relaxed Mg2ZrIn2 crystal.

Summary:
The total DFT energy (no corrections) comes out at -16.4 eV per formula unit.

Structure (CIF):
```
data_Mg2ZrIn2
_chemical_formula_sum 'Mg4 Zr2 In4'
_space_group_name_H-M_alt 'P 63/m m c'
_space_group_IT_number 194
_space_group_name_Hall '-P 6c 2c'
_cell_length_a 4.8483
_cell_length_b 4.8483
_cell_length_c 12.3940
_cell_angle_alpha 90.00
_cell_angle_beta 90.00
_cell_angle_gamma 120.00
loop_
_atom_site_label
_atom_site_fract_x
_atom_site_fract_y
_atom_site_fract_z
_atom_site_occupancy
Mg1 0.0000 0.0000 0.0000 1
Mg2 0.3333 0.6667 0.2500 1
Zr1 0.0000 0.0000 0.2500 1
In1 0.3333 0.6667 0.6246 1
```

---

[8]
A plane-wave DFT calculation with GGA-PBE was carried out for a relaxed MgZr6In5 crystal.

Summary:
The total DFT energy (no corrections) comes out at -68.7 eV per formula unit.

Structure (CIF):
```
data_MgZr6In5
_chemical_formula_sum 'Mg2 Zr12 In10'
_space_group_name_H-M_alt 'I m m m'
_space_group_IT_number 71
_space_group_name_Hall '-I 2 2'
_cell_length_a 5.341
_cell_length_b 6.249
_cell_length_c 16.053
_cell_angle_alpha 90.00
_cell_angle_beta 90.00
_cell_angle_gamma 90.00
loop_
_atom_site_label
_atom_site_fract_x
_atom_site_fract_y
_atom_site_fract_z
_atom_site_occupancy
Mg1 0.000 0.000 0.000 1
Zr1 0.000 0.243 0.500 1
Zr2 0.000 0.253 0.169 1
In1 0.000 0.000 0.333 1
In2 0.000 0.500 0.000 1
In3 0.000 0.500 0.338 1
```